No. 1
# BaIr3Rh

Crystalline BaIr3Rh at its relaxed geometry (GGA-PBEsol, Alexandria).

```
BaIr3Rh
1.0
4.784 0.000 0.000
0.000 4.784 0.000
0.000 0.000 4.784
Ir Ba Rh
3 1 1
direct
0.000 0.000 0.500 Ir
0.000 0.500 0.000 Ir
0.500 0.000 0.000 Ir
0.500 0.500 0.500 Ba
0.000 0.000 0.000 Rh
```

Formation enthalpy at 0 K: 1212 meV/atom
Magnetic moment: 0.7 μB per formula unit

No. 2
# BaIr2RuRh

Crystalline BaIr2RuRh at its relaxed geometry (GGA-PBEsol, Alexandria).

```
BaIr2RuRh
1.0
-1.572 4.555 -0.272
-4.573 -1.630 -0.871
-0.913 -0.026 4.846
Ir Ba Rh Ru
2 1 1 1
direct
0.000 0.000 0.500 Ir
0.000 0.500 0.000 Ir
0.000 0.000 0.000 Ba
0.500 0.500 0.500 Rh
0.500 0.000 0.000 Ru
```

Formation enthalpy at 0 K: 3294 meV/atom
Magnetic moment: 3.8 μB per formula unit